# PBE Rb2RhW, optimized geometry
data_Rb2RhW
_cell_length_a 12.8825
_cell_length_b 12.8825
_cell_length_c 4.7642
_cell_angle_alpha 90.00
_cell_angle_beta 90.00
_cell_angle_gamma 90.00
_symmetry_space_group_name_H-M 'I -4 2 d'
_symmetry_Int_Tables_number 122
_symmetry_space_group_name_Hall 'I -4 2bw'
loop_
_atom_site_label
_atom_site_type_symbol
_atom_site_fract_x
_atom_site_fract_y
_atom_site_fract_z
Rb1 Rb 0.0713 0.7500 0.1250
Rh1 Rh 0.0000 0.0000 0.0000
W1 W 0.0000 0.0000 0.5000
# - crystal system = tetragonal
# - excess energy over the best structure of this formula in the dataset (meV per atom) = 0



# PBE RbRh2W, optimized geometry
data_RbRh2W
_cell_length_a 6.6285
_cell_length_b 6.6285
_cell_length_c 6.6285
_cell_angle_alpha 90.00
_cell_angle_beta 90.00
_cell_angle_gamma 90.00
_symmetry_space_group_name_H-M 'F m -3 m'
_symmetry_Int_Tables_number 225
_symmetry_space_group_name_Hall '-F 4 2 3'
loop_
_atom_site_label
_atom_site_type_symbol
_atom_site_fract_x
_atom_site_fract_y
_atom_site_fract_z
Rb1 Rb 0.0000 0.0000 0.0000
Rh1 Rh 0.2500 0.2500 0.2500
W1 W 0.0000 0.0000 0.5000
# - crystal system = cubic
# - excess energy over the best structure of this formula in the dataset (meV per atom) = 283



# PBE RbRh2W, optimized geometry
data_RbRh2W
_cell_length_a 7.4527
_cell_length_b 7.4527
_cell_length_c 7.0055
_cell_angle_alpha 90.00
_cell_angle_beta 90.00
_cell_angle_gamma 90.00
_symmetry_space_group_name_H-M 'I -4 2 d'
_symmetry_Int_Tables_number 122
_symmetry_space_group_name_Hall 'I -4 2bw'
loop_
_atom_site_label
_atom_site_type_symbol
_atom_site_fract_x
_atom_site_fract_y
_atom_site_fract_z
Rb1 Rb 0.0000 0.0000 0.0000
Rh1 Rh 0.1692 0.2500 0.6250
W1 W 0.0000 0.0000 0.5000
# - crystal system = tetragonal
# - excess energy over the best structure of this formula in the dataset (meV per atom) = 0



# PBE RbRhW2, optimized geometry
data_RbRhW2
_cell_length_a 4.9708
_cell_length_b 4.9708
_cell_length_c 17.6976
_cell_angle_alpha 90.00
_cell_angle_beta 90.00
_cell_angle_gamma 90.00
_symmetry_space_group_name_H-M 'I -4 2 d'
_symmetry_Int_Tables_number 122
_symmetry_space_group_name_Hall 'I -4 2bw'
loop_
_atom_site_label
_atom_site_type_symbol
_atom_site_fract_x
_atom_site_fract_y
_atom_site_fract_z
Rb1 Rb 0.0000 0.0000 0.0000
Rh1 Rh 0.0000 0.0000 0.5000
W1 W 0.0555 0.2500 0.6250
# - crystal system = tetragonal
# - excess energy over the best structure of this formula in the dataset (meV per atom) = 0



# PBE Rb2RhW, optimized geometry
data_Rb2RhW
_cell_length_a 7.9974
_cell_length_b 7.9974
_cell_length_c 7.9974
_cell_angle_alpha 90.00
_cell_angle_beta 90.00
_cell_angle_gamma 90.00
_symmetry_space_group_name_H-M 'F m -3 m'
_symmetry_Int_Tables_number 225
_symmetry_space_group_name_Hall '-F 4 2 3'
loop_
_atom_site_label
_atom_site_type_symbol
_atom_site_fract_x
_atom_site_fract_y
_atom_site_fract_z
Rb1 Rb 0.2500 0.2500 0.2500
Rh1 Rh 0.0000 0.0000 0.0000
W1 W 0.0000 0.0000 0.5000
# - crystal system = cubic
# - excess energy over the best structure of this formula in the dataset (meV per atom) = 845



# PBE RbRhW2, optimized geometry
data_RbRhW2
_cell_length_a 6.5417
_cell_length_b 6.5417
_cell_length_c 6.5417
_cell_angle_alpha 90.00
_cell_angle_beta 90.00
_cell_angle_gamma 90.00
_symmetry_space_group_name_H-M 'F m -3 m'
_symmetry_Int_Tables_number 225
_symmetry_space_group_name_Hall '-F 4 2 3'
loop_
_atom_site_label
_atom_site_type_symbol
_atom_site_fract_x
_atom_site_fract_y
_atom_site_fract_z
Rb1 Rb 0.0000 0.0000 0.0000
Rh1 Rh 0.0000 0.0000 0.5000
W1 W 0.2500 0.2500 0.2500
# - crystal system = cubic
# - excess energy over the best structure of this formula in the dataset (meV per atom) = 67



# PBE RbZrRhW2, optimized geometry
data_RbZrRhW2
_cell_length_a 4.8834
_cell_length_b 4.8834
_cell_length_c 5.4880
_cell_angle_alpha 90.00
_cell_angle_beta 90.00
_cell_angle_gamma 90.00
_symmetry_space_group_name_H-M 'P 4/m m m'
_symmetry_Int_Tables_number 123
_symmetry_space_group_name_Hall '-P 4 2'
loop_
_atom_site_label
_atom_site_type_symbol
_atom_site_fract_x
_atom_site_fract_y
_atom_site_fract_z
Rb1 Rb 0.0000 0.0000 0.0000
Zr1 Zr 0.0000 0.0000 0.5000
Rh1 Rh 0.5000 0.5000 0.0000
W1 W 0.0000 0.5000 0.5000
# - crystal system = tetragonal
# - uncorrected energy (eV/cell) = -29.5



# PBE RbY2Rh, optimized geometry
data_RbY2Rh
_cell_length_a 7.4833
_cell_length_b 7.4833
_cell_length_c 7.4833
_cell_angle_alpha 90.00
_cell_angle_beta 90.00
_cell_angle_gamma 90.00
_symmetry_space_group_name_H-M 'F m -3 m'
_symmetry_Int_Tables_number 225
_symmetry_space_group_name_Hall '-F 4 2 3'
loop_
_atom_site_label
_atom_site_type_symbol
_atom_site_fract_x
_atom_site_fract_y
_atom_site_fract_z
Rb1 Rb 0.0000 0.0000 0.0000
Y1 Y 0.2500 0.2500 0.2500
Rh1 Rh 0.0000 0.0000 0.5000
# - crystal system = cubic
# - excess energy over the best structure of this formula in the dataset (meV per atom) = 28



# PBE RbY2Rh, optimized geometry
data_RbY2Rh
_cell_length_a 8.3848
_cell_length_b 8.3848
_cell_length_c 11.9865
_cell_angle_alpha 90.00
_cell_angle_beta 90.00
_cell_angle_gamma 90.00
_symmetry_space_group_name_H-M 'I 41/a m d'
_symmetry_Int_Tables_number 141
loop_
_symmetry_equiv_pos_as_xyz
'x,y,z'
'-x,-y,-z'
'-y+1/4,x+3/4,z+1/4'
'y+1/4,-x+3/4,-z+1/4'
'-x+1/2,-y,z+1/2'
'x+1/2,y,-z+1/2'
'y+1/4,-x+1/4,z+3/4'
'-y+1/4,x+1/4,-z+3/4'
'x,-y,-z'
'-x,y,z'
'-y+1/4,-x+1/4,-z+3/4'
'y+1/4,x+1/4,z+3/4'
'-x+1/2,y,-z+1/2'
'x+1/2,-y,z+1/2'
'y+1/4,x+3/4,-z+1/4'
'-y+1/4,-x+3/4,z+1/4'
'x+1/2,y+1/2,z+1/2'
'-x+1/2,-y+1/2,-z+1/2'
'-y+3/4,x+1/4,z+3/4'
'y+3/4,-x+1/4,-z+3/4'
'-x,-y+1/2,z'
'x,y+1/2,-z'
'y+3/4,-x+3/4,z+1/4'
'-y+3/4,x+3/4,-z+1/4'
'x+1/2,-y+1/2,-z+1/2'
'-x+1/2,y+1/2,z+1/2'
'-y+3/4,-x+3/4,-z+1/4'
'y+3/4,x+3/4,z+1/4'
'-x,y+1/2,-z'
'x,-y+1/2,z'
'y+3/4,x+1/4,-z+3/4'
'-y+3/4,-x+1/4,z+3/4'
loop_
_atom_site_label
_atom_site_type_symbol
_atom_site_fract_x
_atom_site_fract_y
_atom_site_fract_z
Rb1 Rb 0.0000 0.2500 0.3750
Y1 Y 0.0000 0.0000 0.0000
Rh1 Rh 0.0000 0.2500 0.8750
# - crystal system = tetragonal
# - excess energy over the best structure of this formula in the dataset (meV per atom) = 0



# PBE RbY2ZnRh, optimized geometry
data_RbY2ZnRh
_cell_length_a 5.4614
_cell_length_b 5.4614
_cell_length_c 5.5078
_cell_angle_alpha 90.00
_cell_angle_beta 90.00
_cell_angle_gamma 90.00
_symmetry_space_group_name_H-M 'P 4/m m m'
_symmetry_Int_Tables_number 123
_symmetry_space_group_name_Hall '-P 4 2'
loop_
_atom_site_label
_atom_site_type_symbol
_atom_site_fract_x
_atom_site_fract_y
_atom_site_fract_z
Rb1 Rb 0.0000 0.0000 0.0000
Y1 Y 0.0000 0.5000 0.5000
Zn1 Zn 0.0000 0.0000 0.5000
Rh1 Rh 0.5000 0.5000 0.0000
# - crystal system = tetragonal
# - uncorrected energy (eV/cell) = -18.3



# PBE RbYZn2Rh, optimized geometry
data_RbYZn2Rh
_cell_length_a 4.9534
_cell_length_b 4.9534
_cell_length_c 5.3802
_cell_angle_alpha 90.00
_cell_angle_beta 90.00
_cell_angle_gamma 90.00
_symmetry_space_group_name_H-M 'P 4/m m m'
_symmetry_Int_Tables_number 123
_symmetry_space_group_name_Hall '-P 4 2'
loop_
_atom_site_label
_atom_site_type_symbol
_atom_site_fract_x
_atom_site_fract_y
_atom_site_fract_z
Rb1 Rb 0.0000 0.0000 0.0000
Y1 Y 0.5000 0.5000 0.0000
Zn1 Zn 0.0000 0.5000 0.5000
Rh1 Rh 0.0000 0.0000 0.5000
# - crystal system = tetragonal
# - uncorrected energy (eV/cell) = -14.6



# PBE RbZn4Rh2, optimized geometry
data_RbZn4Rh2
_cell_length_a 5.2922
_cell_length_b 5.2922
_cell_length_c 14.4240
_cell_angle_alpha 90.00
_cell_angle_beta 90.00
_cell_angle_gamma 90.00
_symmetry_space_group_name_H-M 'I 4/m m m'
_symmetry_Int_Tables_number 139
_symmetry_space_group_name_Hall '-I 4 2'
loop_
_atom_site_label
_atom_site_type_symbol
_atom_site_fract_x
_atom_site_fract_y
_atom_site_fract_z
Rb1 Rb 0.0000 0.0000 0.0000
Zn1 Zn 0.0000 0.0000 0.2452
Zn2 Zn 0.0000 0.5000 0.0000
Rh1 Rh 0.0000 0.0000 0.4169
# - crystal system = tetragonal
# - uncorrected energy (eV/cell) = -28.6



# PBE RbZn2Rh, optimized geometry
data_RbZn2Rh
_cell_length_a 6.9627
_cell_length_b 6.9627
_cell_length_c 6.9627
_cell_angle_alpha 90.00
_cell_angle_beta 90.00
_cell_angle_gamma 90.00
_symmetry_space_group_name_H-M 'F m -3 m'
_symmetry_Int_Tables_number 225
_symmetry_space_group_name_Hall '-F 4 2 3'
loop_
_atom_site_label
_atom_site_type_symbol
_atom_site_fract_x
_atom_site_fract_y
_atom_site_fract_z
Rb1 Rb 0.0000 0.0000 0.0000
Zn1 Zn 0.2500 0.2500 0.2500
Rh1 Rh 0.0000 0.0000 0.5000
# - crystal system = cubic
# - excess energy over the best structure of this formula in the dataset (meV per atom) = 393



# PBE Rb2ZnRh, optimized geometry
data_Rb2ZnRh
_cell_length_a 12.4076
_cell_length_b 12.4076
_cell_length_c 4.8582
_cell_angle_alpha 90.00
_cell_angle_beta 90.00
_cell_angle_gamma 90.00
_symmetry_space_group_name_H-M 'I -4 2 d'
_symmetry_Int_Tables_number 122
_symmetry_space_group_name_Hall 'I -4 2bw'
loop_
_atom_site_label
_atom_site_type_symbol
_atom_site_fract_x
_atom_site_fract_y
_atom_site_fract_z
Rb1 Rb 0.0479 0.2500 0.1250
Zn1 Zn 0.0000 0.0000 0.5000
Rh1 Rh 0.0000 0.0000 0.0000
# - crystal system = tetragonal
# - uncorrected energy (eV/cell) = -36.8



# PBE RbZn2Rh, optimized geometry
data_RbZn2Rh
_cell_length_a 5.4172
_cell_length_b 5.4172
_cell_length_c 16.2754
_cell_angle_alpha 90.00
_cell_angle_beta 90.00
_cell_angle_gamma 90.00
_symmetry_space_group_name_H-M 'I 41/a m d'
_symmetry_Int_Tables_number 141
loop_
_symmetry_equiv_pos_as_xyz
'x,y,z'
'-x,-y,-z'
'-y+1/4,x+3/4,z+1/4'
'y+1/4,-x+3/4,-z+1/4'
'-x+1/2,-y,z+1/2'
'x+1/2,y,-z+1/2'
'y+1/4,-x+1/4,z+3/4'
'-y+1/4,x+1/4,-z+3/4'
'x,-y,-z'
'-x,y,z'
'-y+1/4,-x+1/4,-z+3/4'
'y+1/4,x+1/4,z+3/4'
'-x+1/2,y,-z+1/2'
'x+1/2,-y,z+1/2'
'y+1/4,x+3/4,-z+1/4'
'-y+1/4,-x+3/4,z+1/4'
'x+1/2,y+1/2,z+1/2'
'-x+1/2,-y+1/2,-z+1/2'
'-y+3/4,x+1/4,z+3/4'
'y+3/4,-x+1/4,-z+3/4'
'-x,-y+1/2,z'
'x,y+1/2,-z'
'y+3/4,-x+3/4,z+1/4'
'-y+3/4,x+3/4,-z+1/4'
'x+1/2,-y+1/2,-z+1/2'
'-x+1/2,y+1/2,z+1/2'
'-y+3/4,-x+3/4,-z+1/4'
'y+3/4,x+3/4,z+1/4'
'-x,y+1/2,-z'
'x,-y+1/2,z'
'y+3/4,x+1/4,-z+3/4'
'-y+3/4,-x+1/4,z+3/4'
loop_
_atom_site_label
_atom_site_type_symbol
_atom_site_fract_x
_atom_site_fract_y
_atom_site_fract_z
Rb1 Rb 0.0000 0.2500 0.3750
Zn1 Zn 0.0000 0.0000 0.0000
Rh1 Rh 0.0000 0.2500 0.8750
# - crystal system = tetragonal
# - excess energy over the best structure of this formula in the dataset (meV per atom) = 0



# PBE RbZnRh2, optimized geometry
data_RbZnRh2
_cell_length_a 4.7746
_cell_length_b 4.7746
_cell_length_c 17.9738
_cell_angle_alpha 90.00
_cell_angle_beta 90.00
_cell_angle_gamma 90.00
_symmetry_space_group_name_H-M 'I -4 2 d'
_symmetry_Int_Tables_number 122
_symmetry_space_group_name_Hall 'I -4 2bw'
loop_
_atom_site_label
_atom_site_type_symbol
_atom_site_fract_x
_atom_site_fract_y
_atom_site_fract_z
Rb1 Rb 0.0000 0.0000 0.0000
Zn1 Zn 0.0000 0.0000 0.5000
Rh1 Rh 0.0706 0.2500 0.6250
# - crystal system = tetragonal
# - uncorrected energy (eV/cell) = -58.7



# PBE RbZrZnRh2, optimized geometry
data_RbZrZnRh2
_cell_length_a 4.9165
_cell_length_b 4.9165
_cell_length_c 5.6269
_cell_angle_alpha 90.00
_cell_angle_beta 90.00
_cell_angle_gamma 90.00
_symmetry_space_group_name_H-M 'P 4/m m m'
_symmetry_Int_Tables_number 123
_symmetry_space_group_name_Hall '-P 4 2'
loop_
_atom_site_label
_atom_site_type_symbol
_atom_site_fract_x
_atom_site_fract_y
_atom_site_fract_z
Rb1 Rb 0.0000 0.0000 0.0000
Zr1 Zr 0.5000 0.5000 0.5000
Zn1 Zn 0.5000 0.5000 0.0000
Rh1 Rh 0.0000 0.5000 0.5000
# - crystal system = tetragonal
# - uncorrected energy (eV/cell) = -22.8



# PBE Rb2ZrRh, optimized geometry
data_Rb2ZrRh
_cell_length_a 8.0275
_cell_length_b 8.0275
_cell_length_c 8.0275
_cell_angle_alpha 90.00
_cell_angle_beta 90.00
_cell_angle_gamma 90.00
_symmetry_space_group_name_H-M 'F m -3 m'
_symmetry_Int_Tables_number 225
_symmetry_space_group_name_Hall '-F 4 2 3'
loop_
_atom_site_label
_atom_site_type_symbol
_atom_site_fract_x
_atom_site_fract_y
_atom_site_fract_z
Rb1 Rb 0.2500 0.2500 0.2500
Zr1 Zr 0.0000 0.0000 0.0000
Rh1 Rh 0.0000 0.0000 0.5000
# - crystal system = cubic
# - excess energy over the best structure of this formula in the dataset (meV per atom) = 859



# PBE RbZrRh3, optimized geometry
data_RbZrRh3
_cell_length_a 4.7561
_cell_length_b 4.7561
_cell_length_c 4.7561
_cell_angle_alpha 90.00
_cell_angle_beta 90.00
_cell_angle_gamma 90.00
_symmetry_space_group_name_H-M 'P m -3 m'
_symmetry_Int_Tables_number 221
_symmetry_space_group_name_Hall '-P 4 2 3'
loop_
_atom_site_label
_atom_site_type_symbol
_atom_site_fract_x
_atom_site_fract_y
_atom_site_fract_z
Rb1 Rb 0.0000 0.0000 0.0000
Zr1 Zr 0.5000 0.5000 0.5000
Rh1 Rh 0.0000 0.0000 0.5000
# - crystal system = cubic
# - excess energy over the best structure of this formula in the dataset (meV per atom) = 1151



# PBE Rb2ZrRh, optimized geometry
data_Rb2ZrRh
_cell_length_a 13.4020
_cell_length_b 13.4020
_cell_length_c 4.7835
_cell_angle_alpha 90.00
_cell_angle_beta 90.00
_cell_angle_gamma 90.00
_symmetry_space_group_name_H-M 'I -4 2 d'
_symmetry_Int_Tables_number 122
_symmetry_space_group_name_Hall 'I -4 2bw'
loop_
_atom_site_label
_atom_site_type_symbol
_atom_site_fract_x
_atom_site_fract_y
_atom_site_fract_z
Rb1 Rb 0.0900 0.7500 0.1250
Zr1 Zr 0.0000 0.0000 0.5000
Rh1 Rh 0.0000 0.0000 0.0000
# - crystal system = tetragonal
# - excess energy over the best structure of this formula in the dataset (meV per atom) = 0